First-principles (PBE+U) data for LiV3O3F7 after structural relaxation, as listed in the Alexandria database.

```
LiV3O3F7
1.0
7.403 0.000 0.000
3.645 6.461 0.000
3.677 0.041 7.531
Li V O F
2 6 6 14
Cartesian
0.000 0.000 0.000
5.536 3.242 3.767
5.955 3.094 7.411
8.001 6.379 3.888
5.968 3.165 0.137
7.846 6.228 0.005
9.733 3.252 3.750
11.525 6.239 3.642
4.331 3.530 0.032
6.718 4.992 0.128
6.313 0.353 3.820
8.565 4.470 3.686
8.049 2.669 0.005
11.250 4.539 3.635
2.554 2.878 1.857
3.956 1.912 3.903
6.112 5.817 3.677
7.906 6.331 5.767
6.139 3.341 5.560
6.634 1.252 7.212
4.325 0.157 1.899
6.178 3.015 2.001
9.431 1.198 7.511
9.911 3.197 5.685
11.850 6.236 5.613
8.624 1.657 3.850
9.453 5.045 0.167
11.695 6.464 1.817
```

Summary:
Electronic total energy (eV per atom): -6.25
Space-group type: No. 1